! KGaSe4O12 | the Alexandria database | PBE | optimized geometry; values from VASP
! E_tot   -5.024 eV per atom
! Space group   Amm2, No. 38
! Calculated volume   351.9 Å³ per cell
! Total moment   2.0 μB per formula unit
&SYSTEM
  ibrav = 0, nat = 18, ntyp = 4
/
ATOMIC_SPECIES
O 16.00 O.upf
Se 78.96 Se.upf
K 39.10 K.upf
Ga 69.72 Ga.upf
CELL_PARAMETERS angstrom
5.0058 -4.2981 0.0000
5.0058 4.2981 0.0000
0.0000 0.0000 8.1789
ATOMIC_POSITIONS crystal
O 0.2908 0.2908 0.7526
O 0.0346 0.4866 0.5000
O 0.2042 0.7432 0.7092
O 0.6352 0.6352 0.0753
O 0.1089 0.5196 0.0000
O 0.5196 0.1089 0.0000
O 0.7432 0.2042 0.7092
O 0.6352 0.6352 0.9247
O 0.2908 0.2908 0.2474
O 0.4866 0.0346 0.5000
O 0.2042 0.7432 0.2908
O 0.7432 0.2042 0.2908
Se 0.5436 0.0851 0.2785
Se 0.5436 0.0851 0.7215
Se 0.0851 0.5436 0.2785
Se 0.0851 0.5436 0.7215
K 0.0598 0.0598 0.5000
Ga 0.3011 0.3011 0.0000